First-principles (GGA+U) data for a geometry-optimized LiCrClF2 structure, as listed in the Alexandria database. Values from VASP.

Computed properties:
E: -5.142 eV/atom

```
&SYSTEM
  ibrav = 0, nat = 5, ntyp = 4
/
ATOMIC_SPECIES
Cr 52.00 Cr.upf
F 19.00 F.upf
Li 6.94 Li.upf
Cl 35.45 Cl.upf
CELL_PARAMETERS angstrom
3.9508 0.0000 0.0000
0.0000 3.9508 0.0000
0.0000 0.0000 5.7759
ATOMIC_POSITIONS crystal
Cr 0.0000 0.0000 0.0000
F 0.0000 0.5000 0.0000
F 0.5000 0.0000 0.0000
Li 0.5000 0.5000 0.5000
Cl 0.0000 0.0000 0.5000
```